(1)
{"formula": "Nb2GaPbI", "functional": "PBE-GGA", "state": "relaxed", "lattice": [[-1.9556, 3.9952, 2.5591], [2.0186, -2.0485, 4.7407], [4.3613, 2.6037, -0.7320]], "species": ["Pb", "Ga", "Nb", "Nb", "I"], "frac_coords": [[0.5000, 0.5000, 0.5000], [0.0000, 0.5000, 0.0000], [0.5000, 0.0000, 0.0000], [0.0000, 0.0000, 0.5000], [0.0000, 0.0000, 0.0000]], "raw_formation_energy_ev_per_atom": 1.447}

=====

(2)
{"formula": "YCdHgPd", "functional": "PBE-GGA", "state": "relaxed", "lattice": [[4.9508, 0.0000, 0.0000], [2.4754, 4.2876, 0.0000], [2.4754, 1.4292, 4.0423]], "species": ["Pd", "Cd", "Hg", "Y"], "frac_coords": [[0.0000, 0.0000, 0.0000], [0.2500, 0.2500, 0.2500], [0.5000, 0.5000, 0.5000], [0.7500, 0.7500, 0.7500]], "formation_energy_ev_per_atom": -0.51}

=====

(3)
{"formula": "TaPd6Au", "functional": "PBE-GGA", "state": "relaxed", "lattice": [[3.9848, 0.0000, 0.0000], [0.0000, 3.9848, 0.0000], [0.0000, 0.0000, 7.9765]], "species": ["Pd", "Pd", "Pd", "Pd", "Pd", "Pd", "Ta", "Au"], "frac_coords": [[0.0000, 0.5000, 0.7383], [0.5000, 0.5000, 0.0000], [0.0000, 0.5000, 0.2617], [0.5000, 0.0000, 0.7383], [0.5000, 0.5000, 0.5000], [0.5000, 0.0000, 0.2617], [0.0000, 0.0000, 0.5000], [0.0000, 0.0000, 0.0000]], "formation_energy_ev_per_atom": -0.34, "e_above_lowest_polymorph_kcal_per_mol_atoms": 0.00}

=====

(4)
{"formula": "SnPPb3", "functional": "PBE-GGA", "state": "relaxed", "lattice": [[-1.9249, -1.8068, -4.7833], [4.9142, -2.0658, -1.1972], [-1.4127, -4.7242, 2.3529]], "species": ["Pb", "Pb", "Pb", "P", "Sn"], "frac_coords": [[0.5000, 0.0000, 0.0000], [0.0000, 0.5000, 0.0000], [0.0000, 0.0000, 0.5000], [0.0000, 0.0000, 0.0000], [0.5000, 0.5000, 0.5000]], "formation_energy_ev_per_atom": 0.37, "e_above_lowest_polymorph_kcal_per_mol_atoms": 0.00}

=====

(5)
{"formula": "Sm3MgOs", "functional": "PBE-GGA", "state": "relaxed", "lattice": [[-3.7543, -3.0877, -1.3788], [-2.3016, -0.1348, 6.5687], [-4.8497, 6.4952, -1.3409]], "species": ["Sm", "Sm", "Sm", "Sm", "Sm", "Sm", "Os", "Os", "Mg", "Mg"], "frac_coords": [[0.2500, 0.0021, 0.6497], [0.7500, 0.9979, 0.3503], [0.7500, 0.5210, 0.3487], [0.2500, 0.7709, 0.0577], [0.2500, 0.4790, 0.6513], [0.7500, 0.2291, 0.9423], [0.7500, 0.2481, 0.6186], [0.2500, 0.7519, 0.3814], [0.7500, 0.7303, 0.7766], [0.2500, 0.2697, 0.2234]], "formation_energy_ev_per_atom": -0.04, "e_above_lowest_polymorph_kcal_per_mol_atoms": 0.52}

=====

(6)
{"formula": "ZrGe2Br8", "functional": "PBE-GGA", "state": "relaxed", "lattice": [[7.4863, -1.2662, -0.8844], [-0.4432, 7.7922, -1.0323], [-0.4432, 1.7124, 7.6715]], "species": ["Br", "Br", "Br", "Br", "Br", "Br", "Br", "Br", "Zr", "Ge", "Ge"], "frac_coords": [[0.1965, 0.7501, 0.1015], [0.2312, 0.6390, 0.6390], [0.8035, 0.8985, 0.2499], [0.7653, 0.7877, 0.7877], [0.1965, 0.1015, 0.7501], [0.7688, 0.3610, 0.3610], [0.8035, 0.2499, 0.8985], [0.2347, 0.2123, 0.2123], [0.0000, 0.0000, 0.0000], [0.6070, 0.1555, 0.1555], [0.3930, 0.8445, 0.8445]], "raw_formation_energy_ev_per_atom": -0.890, "e_above_lowest_polymorph_kcal_per_mol_atoms": 0.06}

=====

(7)
{"formula": "Hf4HgS", "functional": "PBE-GGA", "state": "relaxed", "lattice": [[-0.4804, 1.4813, -2.8623], [-6.6823, -1.0904, 0.5572], [0.0798, 10.4275, 5.3829]], "species": ["Hf", "Hf", "Hf", "Hf", "Hf", "Hf", "Hf", "Hf", "Hg", "Hg", "S", "S"], "frac_coords": [[0.0000, 0.7025, 0.8482], [0.9996, 0.6425, 0.3456], [0.0004, 0.3575, 0.6544], [0.4996, 0.8575, 0.1544], [0.5000, 0.2025, 0.3482], [0.0000, 0.2975, 0.1518], [0.5004, 0.1425, 0.8456], [0.5000, 0.7975, 0.6518], [0.5000, 0.5000, 0.0000], [0.0000, 0.0000, 0.5000], [0.0000, 0.0000, 0.0000], [0.5000, 0.5000, 0.5000]], "raw_formation_energy_ev_per_atom": -0.318}

=====

(8)
{"formula": "USbH3", "functional": "PBE-GGA", "state": "relaxed", "lattice": [[-2.8319, 3.7680, 0.9826], [-2.3333, -0.0865, -6.3922], [-0.7928, -4.2393, 2.1696]], "species": ["H", "H", "H", "H", "H", "H", "U", "U", "Sb", "Sb"], "frac_coords": [[0.2494, 0.2508, 0.4993], [0.7498, 0.2499, 0.9996], [0.7506, 0.7492, 0.5007], [0.7498, 0.7502, 0.0001], [0.2502, 0.2498, 0.9999], [0.2502, 0.7501, 0.0004], [0.5000, 0.5000, 0.0000], [0.0000, 0.0000, 0.0000], [0.2500, 0.7500, 0.5000], [0.7500, 0.2500, 0.5000]], "total_energy_ev_per_atom": -5.09}

=====

(9)
{"formula": "Cu2AgCl", "functional": "PBE-GGA", "state": "relaxed", "lattice": [[-0.7213, -2.0701, 2.4279], [1.5184, -2.4105, -1.6041], [5.2157, 1.4383, 2.7757]], "species": ["Cl", "Cu", "Cu", "Ag"], "frac_coords": [[0.5000, 0.5000, 0.7500], [0.0000, 0.0000, 0.4688], [0.0000, 0.0000, 0.0312], [0.5000, 0.5000, 0.2500]], "raw_formation_energy_ev_per_atom": 0.126, "e_above_lowest_polymorph_kcal_per_mol_atoms": 3.25}

=====

(10)
{"formula": "Sr2CuCO5", "functional": "PBE-GGA", "state": "relaxed", "lattice": [[9.4578, 0.0007, 0.0000], [2.9124, 8.9982, 0.0000], [-6.1851, -4.4995, 5.5632]], "species": ["O", "O", "O", "O", "O", "O", "O", "O", "O", "O", "O", "O", "O", "O", "O", "O", "O", "O", "O", "O", "Cu", "Cu", "Cu", "Cu", "Sr", "Sr", "Sr", "Sr", "Sr", "Sr", "Sr", "Sr", "C", "C", "C", "C"], "frac_coords": [[0.7605, 0.5110, 0.7503], [0.2393, 0.9898, 0.7503], [0.9898, 0.2395, 0.7505], [0.4890, 0.2393, 0.2495], [0.0102, 0.7605, 0.2495], [0.9163, 0.7338, 0.6500], [0.7607, 0.0102, 0.2497], [0.7338, 0.0837, 0.8175], [0.5110, 0.7607, 0.7505], [0.2575, 0.1875, 0.5924], [0.1875, 0.5951, 0.9300], [0.4049, 0.3349, 0.5924], [0.2395, 0.4890, 0.2497], [0.6651, 0.2575, 0.0700], [0.5951, 0.6651, 0.4076], [0.3349, 0.7425, 0.9300], [0.7425, 0.8125, 0.4076], [0.0837, 0.2662, 0.3500], [0.8125, 0.4049, 0.0700], [0.2662, 0.9163, 0.1825], [0.0000, 0.5000, 0.0000], [0.0000, 0.0000, 0.5000], [0.5000, 0.5000, 0.5000], [0.5000, 0.0000, 0.0000], [0.3519, 0.3519, 0.0000], [0.8643, 0.3643, 0.5000], [0.6481, 0.6481, 0.0000], [0.3643, 0.8643, 0.5000], [0.8709, 0.8709, 0.0000], [0.6357, 0.1357, 0.5000], [0.1357, 0.6357, 0.5000], [0.1291, 0.1291, 0.0000], [0.7370, 0.2499, 0.9870], [0.7501, 0.7370, 0.4871], [0.2630, 0.7501, 0.0130], [0.2499, 0.2630, 0.5129]], "raw_formation_energy_ev_per_atom": -2.001, "e_above_lowest_polymorph_kcal_per_mol_atoms": 0.00}

=====

(11)
{"formula": "LaThPt2", "functional": "PBE-GGA", "state": "relaxed", "lattice": [[-1.7985, -2.9932, -2.2500], [-1.2593, -3.5067, 1.8368], [-7.4833, 0.7964, 1.0875]], "species": ["La", "Th", "Pt", "Pt"], "frac_coords": [[0.4971, 0.4971, 0.5087], [0.6688, 0.6688, 0.9937], [0.0798, 0.0798, 0.7605], [0.2543, 0.2543, 0.2372]], "formation_energy_ev_per_atom": -1.14, "e_above_lowest_polymorph_kcal_per_mol_atoms": 1.71}

=====

(12)
{"formula": "MgAuO2", "functional": "PBE-GGA", "state": "relaxed", "lattice": [[1.7553, 0.0000, 6.1036], [-0.8777, 1.5202, 6.1036], [-0.8777, -1.5202, 6.1036]], "species": ["O", "O", "Mg", "Au"], "frac_coords": [[0.1082, 0.1082, 0.1082], [0.8918, 0.8918, 0.8918], [0.5000, 0.5000, 0.5000], [0.0000, 0.0000, 0.0000]], "raw_formation_energy_ev_per_atom": -1.303}